The following is a PBE calculation of crystalline Cd2RuCl2 at its relaxed geometry, from Alexandria.

```
data_Cd2RuCl2
_cell_length_a 6.264
_cell_length_b 6.264
_cell_length_c 5.810
_cell_angle_alpha 90.00
_cell_angle_beta 90.00
_cell_angle_gamma 90.00
_space_group_name_H-M_alt 'P 4/m b m'
_space_group_IT_number 127
_space_group_name_Hall '-P 4 2ab'
loop_
_atom_site_label
_atom_site_fract_x
_atom_site_fract_y
_atom_site_fract_z
Cd1 0.174 0.326 0.000
Ru1 0.000 0.000 0.500
Cl1 0.172 0.672 0.500
```

Values from the calculation:
V = 114 Å³/f.u.
E_form (uncorrected) = 104 meV/atom